First-principles (PBE-GGA) data for a geometry-optimized ErTl4Br7 structure, as listed in the Alexandria database.

Lattice parameters (Å, degrees): 5.479 7.938 11.874 112.61 103.34 90.00
Fractional coordinates of all 12 atoms:
1 Tl 0.584 0.529 0.167
2 Tl 0.308 0.868 0.616
3 Tl 0.416 0.471 0.833
4 Tl 0.692 0.132 0.384
5 Er 0.000 0.000 0.000
6 Br 0.723 0.774 0.446
7 Br 0.074 0.798 0.148
8 Br 0.926 0.202 0.852
9 Br 0.890 0.682 0.780
10 Br 0.277 0.226 0.554
11 Br 0.110 0.318 0.220
12 Br 0.500 0.000 0.000

Computed properties:
- ρ (g cm⁻³) = 5.55
- ΔE_f (raw) (eV/atom) = -1.174